1.
PuPaCuGe | Alexandria | PBE-GGA | relaxed; polymorph energy (0 for the lowest one) = 0.0 kJ per mole of atoms; symmetry = F-43m, No. 216; formation energy from the elements = -98 meV/atom; Fermi-level density of states = 10.41 states/eV/cell
1.0
0.000 3.505 3.505
3.505 0.000 3.505
3.505 3.505 0.000
Pu Pa Cu Ge
1 1 1 1
direct
0.000 0.000 0.000
0.500 0.500 0.500
0.250 0.250 0.250
0.750 0.750 0.750

***

2.
Pa2Cu3Ge4Rh | Alexandria | PBE-GGA | relaxed; symmetry = P-4m2, No. 115; formation energy from the elements = -393 meV/atom; Fermi-level density of states = 8.63 states/eV/cell
1.0
4.225 0.000 0.000
0.000 4.225 0.000
0.000 0.000 9.700
Pa Cu Ge Rh
2 3 4 1
direct
0.000 0.500 0.244
0.500 0.000 0.756
0.000 0.000 0.000
0.000 0.500 0.625
0.500 0.000 0.375
0.000 0.000 0.500
0.000 0.500 0.865
0.500 0.000 0.135
0.500 0.500 0.500
0.500 0.500 0.000

***

3.
PaCuGeRh | Alexandria | PBE-GGA | relaxed; symmetry = F-43m, No. 216; formation energy from the elements = -301 meV/atom; Fermi-level density of states = 2.65 states/eV/cell
1.0
0.000 3.269 3.269
3.269 0.000 3.269
3.269 3.269 0.000
Pa Cu Ge Rh
1 1 1 1
direct
0.000 0.000 0.000
0.750 0.750 0.750
0.250 0.250 0.250
0.500 0.500 0.500

***

4.
PaCuGeS | Alexandria | PBE-GGA | relaxed; formation energy (no corrections) = -18.4 kcal/mol of atoms; symmetry = P4/nmm, No. 129; Fermi-level density of states = 2.39 states/eV/cell
1.0
4.207 0.000 0.000
0.000 4.207 0.000
0.000 0.000 8.271
Pa Cu Ge S
2 2 2 2
direct
0.250 0.250 0.215
0.750 0.750 0.785
0.250 0.750 0.500
0.750 0.250 0.500
0.250 0.250 0.665
0.750 0.750 0.335
0.250 0.750 0.000
0.750 0.250 0.000

***

5.
ScPaCu2Ge2 | Alexandria | PBE-GGA | relaxed; symmetry = P-3m1, No. 164; formation energy from the elements = -497 meV/atom; Fermi-level density of states = 5.76 states/eV/cell
1.0
4.181 0.000 0.000
-2.091 3.621 0.000
0.000 0.000 7.083
Sc Pa Cu Ge
1 1 2 2
direct
0.000 0.000 0.000
0.000 0.000 0.500
0.333 0.667 0.223
0.667 0.333 0.777
0.333 0.667 0.761
0.667 0.333 0.239

***

6.
PaCuGeSe | Alexandria | PBE-GGA | relaxed; formation energy (no corrections) = -14.9 kcal/mol of atoms; symmetry = P4/nmm, No. 129; Fermi-level density of states = 2.79 states/eV/cell
1.0
4.276 0.000 0.000
0.000 4.276 0.000
0.000 0.000 8.467
Pa Cu Ge Se
2 2 2 2
direct
0.250 0.250 0.233
0.750 0.750 0.767
0.250 0.750 0.500
0.750 0.250 0.500
0.250 0.250 0.660
0.750 0.750 0.340
0.250 0.750 0.000
0.750 0.250 0.000

***

7.
PaCuTcGe2 | Alexandria | PBE-GGA | relaxed; symmetry = I-4m2, No. 119; formation energy from the elements = -253 meV/atom; Fermi-level density of states = 5.53 states/eV/cell
1.0
-2.010 2.010 5.416
2.010 -2.010 5.416
2.010 2.010 -5.416
Pa Cu Tc Ge
1 1 1 2
direct
0.000 0.000 0.000
0.750 0.250 0.500
0.250 0.750 0.500
0.384 0.384 0.000
0.616 0.616 0.000

***

8.
PaCuTcGe | Alexandria | PBE-GGA | relaxed; symmetry = F-43m, No. 216; formation energy from the elements = -11 meV/atom; Fermi-level density of states = 5.48 states/eV/cell
1.0
0.000 3.274 3.274
3.274 0.000 3.274
3.274 3.274 0.000
Pa Cu Tc Ge
1 1 1 1
direct
0.000 0.000 0.000
0.750 0.750 0.750
0.250 0.250 0.250
0.500 0.500 0.500

***

9.
Pa3CuTc2Ge3 | Alexandria | PBE-GGA | relaxed; symmetry = P-62m, No. 189; formation energy from the elements = -431 meV/atom; Fermi-level density of states = 8.61 states/eV/cell
1.0
7.206 0.000 0.000
-3.603 6.240 0.000
0.000 0.000 3.817
Pa Cu Tc Ge
3 1 2 3
direct
0.000 0.592 0.000
0.408 0.408 0.000
0.592 0.000 0.000
0.000 0.000 0.000
0.333 0.667 0.500
0.667 0.333 0.500
0.000 0.252 0.500
0.252 0.000 0.500
0.748 0.748 0.500

***

10.
ThPaCuGe | Alexandria | PBE-GGA | relaxed; symmetry = F-43m, No. 216; formation energy from the elements = -124 meV/atom; Fermi-level density of states = 7.28 states/eV/cell
1.0
0.000 3.567 3.567
3.567 0.000 3.567
3.567 3.567 0.000
Th Pa Cu Ge
1 1 1 1
direct
0.000 0.000 0.000
0.500 0.500 0.500
0.250 0.250 0.250
0.750 0.750 0.750

***

11.
ThPaCu2Ge2 | Alexandria | PBE-GGA | relaxed; symmetry = P-3m1, No. 164; formation energy from the elements = -506 meV/atom; Fermi-level density of states = 7.45 states/eV/cell
1.0
4.158 0.000 0.000
-2.079 3.601 0.000
0.000 0.000 8.046
Th Pa Cu Ge
1 1 2 2
direct
0.000 0.000 0.000
0.000 0.000 0.500
0.333 0.667 0.733
0.667 0.333 0.267
0.333 0.667 0.260
0.667 0.333 0.740

***

12.
TmPaCuGe | Alexandria | PBE-GGA | relaxed; symmetry = F-43m, No. 216; formation energy from the elements = -217 meV/atom; Fermi-level density of states = 4.54 states/eV/cell
1.0
0.000 3.480 3.480
3.480 0.000 3.480
3.480 3.480 0.000
Tm Pa Cu Ge
1 1 1 1
direct
0.000 0.000 0.000
0.500 0.500 0.500
0.750 0.750 0.750
0.250 0.250 0.250

***

13.
TmPaCu2Ge2 | Alexandria | PBE-GGA | relaxed; symmetry = P-3m1, No. 164; formation energy from the elements = -523 meV/atom; Fermi-level density of states = 5.72 states/eV/cell
1.0
4.170 0.000 0.000
-2.085 3.611 0.000
0.000 0.000 7.566
Tm Pa Cu Ge
1 1 2 2
direct
0.000 0.000 0.000
0.000 0.000 0.500
0.333 0.667 0.259
0.667 0.333 0.741
0.333 0.667 0.752
0.667 0.333 0.248

***

14.
YPaCuGe | Alexandria | PBE-GGA | relaxed; symmetry = F-43m, No. 216; formation energy from the elements = -202 meV/atom; Fermi-level density of states = 6.00 states/eV/cell
1.0
0.000 3.510 3.510
3.510 0.000 3.510
3.510 3.510 0.000
Y Pa Cu Ge
1 1 1 1
direct
0.000 0.000 0.000
0.500 0.500 0.500
0.750 0.750 0.750
0.250 0.250 0.250

***

15.
CuGe3Pb | Alexandria | PBE-GGA | relaxed; polymorph energy (0 for the lowest one) = 0.0 kJ per mole of atoms; symmetry = Pm-3m, No. 221; formation energy from the elements = 377 meV/atom; Fermi-level density of states = 2.33 states/eV/cell
1.0
4.830 0.000 0.000
0.000 4.830 0.000
0.000 0.000 4.830
Cu Ge Pb
1 3 1
direct
0.000 0.000 0.000
0.000 0.000 0.500
0.000 0.500 0.000
0.500 0.000 0.000
0.500 0.500 0.500

***

16.
CuGePb2 | Alexandria | PBE-GGA | relaxed; symmetry = I-42d, No. 122; formation energy from the elements = 404 meV/atom; Fermi-level density of states = 4.49 states/eV/cell
1.0
-2.593 2.593 8.349
2.593 -2.593 8.349
2.593 2.593 -8.349
Cu Ge Pb
2 2 4
direct
0.000 0.000 0.000
0.750 0.250 0.500
0.250 0.750 0.500
0.500 0.500 0.000
0.085 0.625 0.960
0.375 0.335 0.460
0.665 0.125 0.040
0.875 0.915 0.540

***

17.
Cu2Ge2Pb | Alexandria | PBE-GGA | relaxed; polymorph energy (0 for the lowest one) = 0.0 kJ per mole of atoms; symmetry = I4/mmm, No. 139; formation energy from the elements = 123 meV/atom; Fermi-level density of states = 2.59 states/eV/cell
1.0
-2.111 2.111 5.289
2.111 -2.111 5.289
2.111 2.111 -5.289
Cu Ge Pb
2 2 1
direct
0.250 0.750 0.500
0.750 0.250 0.500
0.123 0.123 0.000
0.877 0.877 0.000
0.500 0.500 0.000

***

18.
Cu4GePb | Alexandria | PBE-GGA | relaxed; symmetry = F-43m, No. 216; formation energy from the elements = 173 meV/atom; Fermi-level density of states = 2.31 states/eV/cell
1.0
0.000 3.616 3.616
3.616 0.000 3.616
3.616 3.616 0.000
Cu Ge Pb
4 1 1
direct
0.124 0.124 0.124
0.124 0.124 0.627
0.124 0.627 0.124
0.627 0.124 0.124
0.750 0.750 0.750
0.500 0.500 0.500

***

19.
CuGePb | Alexandria | PBE-GGA | relaxed; polymorph energy (0 for the lowest one) = 0.0 kJ per mole of atoms; symmetry = P-6m2, No. 187; formation energy from the elements = 151 meV/atom; Fermi-level density of states = 1.51 states/eV/cell
1.0
4.156 0.000 0.000
-2.078 3.599 0.000
0.000 0.000 4.410
Cu Ge Pb
1 1 1
direct
0.000 0.000 0.000
0.667 0.333 0.000
0.333 0.667 0.500

***

20.
Cu2Ge2Pb | Alexandria | PBE-GGA | relaxed; polymorph energy (0 for the lowest one) = 10.1 kJ per mole of atoms; symmetry = P4/mbm, No. 127; formation energy from the elements = 228 meV/atom; Fermi-level density of states = 3.76 states/eV/cell
1.0
7.601 0.000 0.000
0.000 7.601 0.000
0.000 0.000 3.198
Cu Ge Pb
4 4 2
direct
0.129 0.371 0.000
0.371 0.871 0.000
0.629 0.129 0.000
0.871 0.629 0.000
0.148 0.648 0.500
0.352 0.148 0.500
0.648 0.852 0.500
0.852 0.352 0.500
0.000 0.000 0.000
0.500 0.500 0.000

***

21.
Cu3Ge3Pb | Alexandria | PBE-GGA | relaxed; symmetry = Pm-3n, No. 223; formation energy from the elements = 378 meV/atom; Fermi-level density of states = 9.13 states/eV/cell
1.0
6.722 0.000 0.000
0.000 6.722 0.000
0.000 0.000 6.722
Cu Ge Pb
6 6 2
direct
0.000 0.250 0.500
0.000 0.750 0.500
0.250 0.500 0.000
0.500 0.000 0.250
0.500 0.000 0.750
0.750 0.500 0.000
0.000 0.500 0.250
0.000 0.500 0.750
0.250 0.000 0.500
0.500 0.250 0.000
0.500 0.750 0.000
0.750 0.000 0.500
0.000 0.000 0.000
0.500 0.500 0.500

***

22.
Cu2Ge2Pb | Alexandria | PBE-GGA | relaxed; polymorph energy (0 for the lowest one) = 14.7 kJ per mole of atoms; symmetry = P4/mbm, No. 127; formation energy from the elements = 275 meV/atom; Fermi-level density of states = 4.67 states/eV/cell
1.0
7.941 0.000 0.000
0.000 7.941 0.000
0.000 0.000 2.962
Cu Ge Pb
4 4 2
direct
0.137 0.363 0.000
0.363 0.863 0.000
0.637 0.137 0.000
0.863 0.637 0.000
0.143 0.643 0.500
0.357 0.143 0.500
0.643 0.857 0.500
0.857 0.357 0.500
0.000 0.000 0.500
0.500 0.500 0.500

***

23.
CuGePb | Alexandria | PBE-GGA | relaxed; polymorph energy (0 for the lowest one) = 6.7 kJ per mole of atoms; symmetry = Fddd, No. 70; formation energy from the elements = 221 meV/atom; Fermi-level density of states = 5.07 states/eV/cell
1.0
0.000 4.581 10.376
2.656 0.000 10.376
2.656 4.581 0.000
Cu Ge Pb
4 4 4
direct
0.002 0.002 0.248
0.248 0.248 0.002
0.752 0.752 0.998
0.998 0.998 0.752
0.280 0.280 0.470
0.470 0.470 0.280
0.530 0.530 0.720
0.720 0.720 0.530
0.044 0.706 0.044
0.294 0.956 0.294
0.706 0.044 0.706
0.956 0.294 0.956

***

24.
CuGe2Pt7Pb2 | Alexandria | PBE-GGA | relaxed; symmetry = I4/mmm, No. 139; formation energy from the elements = -224 meV/atom; Fermi-level density of states = 8.74 states/eV/cell
1.0
-1.962 1.962 15.519
1.962 -1.962 15.519
1.962 1.962 -15.519
Cu Ge Pt Pb
1 2 7 2
direct
0.000 0.000 0.000
0.385 0.385 0.000
0.615 0.615 0.000
0.064 0.564 0.500
0.307 0.307 0.000
0.436 0.936 0.500
0.500 0.500 0.000
0.564 0.064 0.500
0.693 0.693 0.000
0.936 0.436 0.500
0.211 0.211 0.000
0.789 0.789 0.000

***

25.
Cu2GePbS4 | Alexandria | PBE-GGA | relaxed; formation energy (no corrections) = -7.5 kcal/mol of atoms; symmetry = Fmm2, No. 42
1.0
0.000 4.235 4.852
4.225 0.000 4.852
4.225 4.235 0.000
Cu Ge Pb S
2 1 1 4
direct
0.000 0.000 0.500
0.500 0.500 0.000
0.250 0.250 0.750
0.749 0.749 0.251
0.190 0.605 0.810
0.309 0.896 0.104
0.605 0.190 0.395
0.896 0.309 0.691

***

26.
CuGePbS3 | Alexandria | PBE-GGA | relaxed; formation energy (no corrections) = -6.2 kcal/mol of atoms; symmetry = P2_1/m, No. 11; Fermi-level density of states = 3.78 states/eV/cell
1.0
8.104 0.000 0.000
0.000 3.828 0.000
-2.193 0.000 8.240
Cu Ge Pb S
2 2 2 6
direct
0.083 0.250 0.070
0.917 0.750 0.930
0.340 0.750 0.354
0.660 0.250 0.646
0.183 0.250 0.718
0.817 0.750 0.282
0.115 0.250 0.361
0.224 0.750 0.032
0.446 0.750 0.662
0.554 0.250 0.338
0.776 0.250 0.968
0.885 0.750 0.639